YAs2CSe: optimized geometry, PBE.

Results
Its density of states at the Fermi level is 7.96 states/eV/cell. The calculation puts the formation energy from raw total energies at 8.03 eV/f.u. The uncorrected energy is -4.088 eV per atom. The energy above the most stable polymorph in this dataset comes out at 1310 meV/atom.

Cell lengths 5.517, 5.517, 5.360 Å; angles 90.00, 90.00, 90.00 degrees
Positions (direct):
Y 0.000 0.000 0.000
As 0.000 0.500 0.000
As 0.500 0.000 0.000
C 0.500 0.500 0.500
Se 0.000 0.000 0.500